Compound: AcPmPH
Source: Alexandria
Functional: PBE-GGA
Structure: optimized geometry

Cell lengths 7.079, 7.079, 7.079 Å; angles 90.00, 90.00, 90.00 degrees
Space group F-43m (No. 216)
Unique sites:
Ac  0.000  0.000  0.000 [4 per cell]
Pm  0.000  0.000  0.500 [4 per cell]
P  0.250  0.250  0.750 [4 per cell]
H  0.250  0.250  0.250 [4 per cell]

N(E_F): 0.66 states/eV/atom
Energy: -80.29 eV per cell
Crystal system: cubic